{
  "formula": "LaYBeZn",
  "functional": "PBE",
  "state": "optimized geometry",
  "lattice": [[5.0939, 0.0000, 0.0000], [2.5469, 4.4114, 0.0000], [2.5469, 1.4705, 4.1591]],
  "species": ["Zn", "Be", "Y", "La"],
  "fractional_positions": [[0.7500, 0.7500, 0.7500], [0.2500, 0.2500, 0.2500], [0.0000, 0.0000, 0.0000], [0.5000, 0.5000, 0.5000]]
}

{
  "formula": "La2BeZn",
  "functional": "PBE",
  "state": "optimized geometry",
  "lattice": [[5.0154, 0.0000, 0.0000], [0.0000, 3.6687, -0.0079], [0.0000, 0.0166, 5.3043]],
  "species": ["Zn", "Be", "La", "La"],
  "fractional_positions": [[0.0000, 0.6253, 0.4438], [0.5000, 0.6247, 0.8064], [0.0000, 0.1242, 0.9138], [0.5000, 0.1258, 0.3360]],
  "polymorph_energy_mev_per_atom": 18
}

{
  "formula": "La2BeZn",
  "functional": "PBE",
  "state": "optimized geometry",
  "lattice": [[-2.2839, -6.7708, -5.8150], [1.3830, -7.4119, -5.2940], [-1.1225, -8.7026, -2.8070]],
  "species": ["Be", "La", "La", "Zn"],
  "fractional_positions": [[0.7500, 0.7500, 0.7500], [0.4934, 0.4934, 0.4934], [0.0066, 0.0066, 0.0066], [0.2500, 0.2500, 0.2500]],
  "polymorph_energy_mev_per_atom": 265
}

{
  "formula": "La2BeZn",
  "functional": "PBE",
  "state": "optimized geometry",
  "lattice": [[5.9800, -0.0273, 0.0068], [4.8643, 3.4785, 0.0068], [2.0594, 0.6554, 4.4698]],
  "species": ["La", "Zn", "Be", "La"],
  "fractional_positions": [[0.9677, 0.9677, 0.0323], [0.5585, 0.5585, 0.4415], [0.2016, 0.2016, 0.2986], [0.7722, 0.7722, 0.7276]],
  "polymorph_energy_mev_per_atom": 0
}

{
  "formula": "LaBeZn",
  "functional": "PBE",
  "state": "optimized geometry",
  "lattice": [[-3.2042, 2.5663, 2.9806], [-1.3789, -2.7123, 4.0594], [4.0930, 1.9111, -2.3092]],
  "species": ["La", "Be", "Zn"],
  "fractional_positions": [[0.6653, 0.6653, 0.0000], [0.0165, 0.0165, 0.0000], [0.3182, 0.3182, 0.0000]],
  "polymorph_energy_mev_per_atom": 383
}

{
  "formula": "LaBeZn",
  "functional": "PBE",
  "state": "optimized geometry",
  "lattice": [[6.1972, 0.0000, 0.0000], [0.0000, 6.3466, -0.2117], [0.0000, 2.6174, 6.2813]],
  "species": ["Be", "Be", "Be", "Zn", "La", "Be", "Zn", "Zn", "La", "Zn", "La", "La"],
  "fractional_positions": [[0.4243, 0.4677, 0.1561], [0.0757, 0.9677, 0.6561], [0.9243, 0.0323, 0.3439], [0.8486, 0.6936, 0.6061], [0.6399, 0.2279, 0.5859], [0.5757, 0.5323, 0.8439], [0.6514, 0.1936, 0.1061], [0.3486, 0.8064, 0.8939], [0.8601, 0.7279, 0.0859], [0.1514, 0.3064, 0.3939], [0.3601, 0.7721, 0.4141], [0.1399, 0.2721, 0.9141]],
  "polymorph_energy_mev_per_atom": 0
}

E_form per entry: -0.0542, -0.0299, 0.2174, -0.0475, 0.2832, -0.1002 eV/atom
DOS(E_F) per entry: 5.02, 3.63, 4.72, 3.17, 1.88, 9.93 states/eV per cell
Total energy per entry: -4.152, -3.744, -3.496, -3.761, -3.026, -3.409 eV per atom